Record 1
This record from Alexandria describes a geometry-optimized Pm3ThSn2 structure. The functional is GGA-PBE.

Cell: 4.998 8.641 9.643 Å, 116.62 105.03 90.00°
Fractional positions:
1 Pm 0.500 0.750 0.000
2 Pm 0.500 0.250 0.000
3 Pm 0.179 0.429 0.357
4 Pm 0.179 0.929 0.357
5 Th 0.000 0.500 0.000
6 Sn 0.351 0.851 0.702
7 Pm 0.821 0.571 0.643
8 Pm 0.821 0.071 0.643
9 Sn 0.351 0.351 0.702
10 Th 0.000 0.000 0.000
11 Sn 0.649 0.649 0.298
12 Sn 0.649 0.149 0.298

## Properties
Crystal system = orthorhombic
Formation enthalpy at 0 K = -0.50 eV/atom
Total magnetization = 0.00 μB per formula unit
Energy = -32.71 eV per formula unit

Record 2
This record from Alexandria describes a geometry-optimized PmThSn2 structure. The functional is GGA-PBE.

Cell: 4.510 5.015 5.015 Å, 90.00 90.00 90.00°
Fractional positions:
1 Sn 0.000 0.000 0.500
2 Sn 0.000 0.500 0.000
3 Th 0.500 0.500 0.500
4 Pm 0.500 0.000 0.000

## Properties
Crystal system = tetragonal
Formation enthalpy at 0 K = -0.58 eV/atom
Total magnetization = 0.00 μB per formula unit
Energy = -22.49 eV per formula unit

Record 3
This record from Alexandria describes a geometry-optimized Pm5ThSn4 structure. The functional is GGA-PBE.

Cell: 5.466 7.242 11.256 Å, 129.60 104.05 90.00°
Fractional positions:
1 Pm 0.834 0.157 0.667
2 Th 0.500 0.000 0.000
3 Pm 0.166 0.843 0.333
4 Pm 0.166 0.326 0.331
5 Sn 0.676 0.103 0.352
6 Sn 0.992 0.730 0.984
7 Pm 0.834 0.674 0.669
8 Sn 0.324 0.897 0.648
9 Pm 0.500 0.500 0.000
10 Sn 0.008 0.270 0.016

## Properties
Crystal system = monoclinic
Formation enthalpy at 0 K = -0.51 eV/atom
Total magnetization = 0.00 μB per formula unit
Energy = -52.26 eV per formula unit

Record 4
This record from Alexandria describes a geometry-optimized PmTh2Sn3 structure. The functional is GGA-PBE.

Cell: 7.835 7.833 7.833 Å, 120.18 99.61 99.61°
Fractional positions:
1 Sn 0.500 0.000 0.500
2 Sn 0.499 0.665 0.831
3 Pm 0.250 0.584 0.416
4 Pm 0.750 0.416 0.584
5 Sn 0.999 0.831 0.665
6 Sn 0.000 0.500 0.000
7 Th 0.750 0.751 0.249
8 Sn 0.501 0.335 0.169
9 Th 0.250 0.249 0.751
10 Th 0.250 0.917 0.083
11 Th 0.750 0.083 0.917
12 Sn 0.001 0.169 0.335

## Properties
Crystal system = monoclinic
Formation enthalpy at 0 K = -0.53 eV/atom
Total magnetization = 0.00 μB per formula unit
Energy = -34.75 eV per formula unit

Record 5
This record from Alexandria describes a geometry-optimized Pm2ThSn6 structure. The functional is GGA-PBE.

Cell: 4.461 9.681 9.681 Å, 41.57 76.73 76.73°
Fractional positions:
1 Sn 0.515 0.708 0.262
2 Pm 0.895 0.605 0.605
3 Sn 0.310 0.409 0.970
4 Sn 0.515 0.262 0.708
5 Th 0.937 0.064 0.064
6 Sn 0.698 0.590 0.013
7 Pm 0.121 0.378 0.378
8 Sn 0.698 0.013 0.590
9 Sn 0.310 0.970 0.409

## Properties
Crystal system = monoclinic
Formation enthalpy at 0 K = -0.43 eV/atom
Total magnetization = 0.00 μB per formula unit
Energy = -44.82 eV per formula unit

Record 6
This record from Alexandria describes a geometry-optimized Pm3ThSn3 structure. The functional is GGA-PBE.

Cell: 6.803 6.803 9.557 Å, 90.06 90.06 102.35°
Fractional positions:
1 Sn 0.959 0.959 0.240
2 Pm 0.550 0.550 0.310
3 Th 0.714 0.714 0.974
4 Sn 0.019 0.489 0.255
5 Pm 0.188 0.812 0.500
6 Pm 0.224 0.776 0.000
7 Sn 0.041 0.041 0.760
8 Th 0.286 0.286 0.026
9 Sn 0.981 0.511 0.745
10 Pm 0.776 0.224 0.000
11 Sn 0.489 0.019 0.255
12 Pm 0.812 0.188 0.500
13 Sn 0.511 0.981 0.745
14 Pm 0.450 0.450 0.690

## Properties
Crystal system = monoclinic
Formation enthalpy at 0 K = -0.46 eV/atom
Total magnetization = 0.00 μB per formula unit
Energy = -36.90 eV per formula unit

Record 7
This record from Alexandria describes a geometry-optimized PmTh2Sn9 structure. The functional is GGA-PBE.

Cell: 4.750 4.750 14.270 Å, 90.00 90.00 90.00°
Fractional positions:
1 Sn 0.500 0.000 0.834
2 Sn 0.500 0.000 0.166
3 Sn 0.500 0.500 0.668
4 Sn 0.000 0.500 0.166
5 Th 0.000 0.000 0.665
6 Sn 0.000 0.500 0.500
7 Sn 0.500 0.500 0.000
8 Th 0.000 0.000 0.335
9 Sn 0.000 0.500 0.834
10 Pm 0.000 0.000 0.000
11 Sn 0.500 0.000 0.500
12 Sn 0.500 0.500 0.332

## Properties
Crystal system = tetragonal
Formation enthalpy at 0 K = -0.46 eV/atom
Total magnetization = 0.00 μB per formula unit
Energy = -61.13 eV per formula unit

Record 8
This record from Alexandria describes a geometry-optimized Pm7ThSn5 structure. The functional is GGA-PBE.

Cell: 6.498 8.486 8.486 Å, 83.12 67.49 67.49°
Fractional positions:
1 Pm 0.019 0.305 0.656
2 Sn 0.782 0.718 0.718
3 Pm 0.594 0.406 0.406
4 Th 0.911 0.089 0.089
5 Sn 0.533 0.461 0.988
6 Pm 0.533 0.805 0.128
7 Pm 0.240 0.760 0.760
8 Pm 0.267 0.233 0.233
9 Sn 0.533 0.988 0.461
10 Sn 0.018 0.461 0.988
11 Sn 0.018 0.988 0.461
12 Pm 0.019 0.656 0.305
13 Pm 0.533 0.128 0.805

## Properties
Crystal system = orthorhombic
Formation enthalpy at 0 K = -0.46 eV/atom
Total magnetization = 0.00 μB per formula unit
Energy = -66.61 eV per formula unit

Record 9
This record from Alexandria describes a geometry-optimized Pm6ThSn3 structure. The functional is GGA-PBE.

Cell: 8.648 8.747 8.747 Å, 97.22 90.00 90.00°
Fractional positions:
1 Pm 0.314 0.576 0.938
2 Th 0.499 0.669 0.331
3 Sn 0.464 0.282 0.110
4 Sn 0.464 0.890 0.718
5 Th 0.999 0.331 0.669
6 Sn 0.857 0.578 0.422
7 Sn 0.964 0.718 0.890
8 Pm 0.314 0.062 0.424
9 Pm 0.679 0.952 0.048
10 Pm 0.072 0.772 0.228
11 Pm 0.161 0.732 0.597
12 Pm 0.179 0.048 0.952
13 Pm 0.814 0.938 0.576
14 Sn 0.357 0.422 0.578
15 Pm 0.814 0.424 0.062
16 Sn 0.964 0.110 0.282
17 Pm 0.661 0.268 0.403
18 Pm 0.161 0.403 0.268
19 Pm 0.572 0.228 0.772
20 Pm 0.661 0.597 0.732

## Properties
Crystal system = orthorhombic
Formation enthalpy at 0 K = -0.38 eV/atom
Total magnetization = 0.00 μB per formula unit
Energy = -51.74 eV per formula unit

Record 10
This record from Alexandria describes a geometry-optimized PmTiSn2 structure. The functional is GGA-PBE.

Cell: 4.457 4.635 4.635 Å, 90.00 90.00 90.00°
Fractional positions:
1 Sn 0.000 0.000 0.500
2 Ti 0.500 0.500 0.500
3 Pm 0.500 0.000 0.000
4 Sn 0.000 0.500 0.000

## Properties
Crystal system = tetragonal
Formation enthalpy at 0 K = -0.34 eV/atom
Total magnetization = 0.48 μB per formula unit
Energy = -22.00 eV per formula unit

Record 11
This record from Alexandria describes a geometry-optimized Pm5TiSn4 structure. The functional is GGA-PBE.

Cell: 3.953 8.763 9.805 Å, 107.90 101.63 90.00°
Fractional positions:
1 Sn 0.996 0.222 0.992
2 Pm 0.169 0.364 0.338
3 Pm 0.831 0.636 0.662
4 Pm 0.175 0.804 0.350
5 Pm 0.825 0.196 0.650
6 Sn 0.345 0.927 0.690
7 Pm 0.500 0.500 0.000
8 Ti 0.500 0.000 0.000
9 Sn 0.655 0.073 0.310
10 Sn 0.004 0.778 0.008

## Properties
Crystal system = monoclinic
Formation enthalpy at 0 K = -0.29 eV/atom
Total magnetization = 0.00 μB per formula unit
Energy = -50.52 eV per formula unit

Record 12
This record from Alexandria describes a geometry-optimized PmTiSn2 structure. The functional is GGA-PBE.

Cell: 3.299 3.299 11.358 Å, 81.65 81.65 60.00°
Fractional positions:
1 Sn 0.917 0.917 0.249
2 Sn 0.083 0.083 0.751
3 Pm 0.500 0.500 0.500
4 Ti 0.000 0.000 0.000

## Properties
Crystal system = trigonal
Formation enthalpy at 0 K = 0.14 eV/atom
Total magnetization = 0.21 μB per formula unit
Energy = -20.10 eV per formula unit

Number 1: N(E_F) 6.61 states/eV/f.u., volume 356.3 Å³/cell. Number 2: N(E_F) 4.12 states/eV/f.u., volume 113.4 Å³/cell. Number 3: N(E_F) 6.87 states/eV/f.u., volume 325.8 Å³/cell. Number 4: N(E_F) 3.53 states/eV/f.u., volume 391.6 Å³/cell. Number 5: N(E_F) 5.17 states/eV/f.u., volume 268.9 Å³/cell. Number 6: N(E_F) 6.45 states/eV/f.u., volume 432.0 Å³/cell. Number 7: N(E_F) 7.59 states/eV/f.u., volume 322.0 Å³/cell. Number 8: N(E_F) 12.63 states/eV/f.u., volume 399.1 Å³/cell. Number 9: N(E_F) 12.95 states/eV/f.u., volume 656.5 Å³/cell. Number 10: N(E_F) 3.35 states/eV/f.u., volume 95.8 Å³/cell. Number 11: N(E_F) 9.05 states/eV/f.u., volume 315.8 Å³/cell. Number 12: N(E_F) 4.86 states/eV/f.u., volume 105.5 Å³/cell.